1.
Below is YSnSeBr2 after structural relaxation, with properties calculated at the PBE level.

Values from the calculation:
total magnetization	1.001	μB per formula unit
formation energy from raw total energies	-0.88	eV per atom
space group	P4/mmm (123)
E above lowest polymorph	0	meV per atom
density of states at the Fermi level	0.428	states/eV per atom
uncorrected energy	-4.3410	eV/atom

```
data_YSnSeBr2
_symmetry_space_group_name_H-M 'P 1'
_symmetry_Int_Tables_number 1
_cell_length_a 5.533
_cell_length_b 5.533
_cell_length_c 5.561
_cell_angle_alpha 90.00
_cell_angle_beta 90.00
_cell_angle_gamma 90.00
loop_
_symmetry_equiv_pos_as_xyz
'x,y,z'
loop_
_atom_site_label
_atom_site_fract_x
_atom_site_fract_y
_atom_site_fract_z
Y1 0.000 0.000 0.000
Se1 0.000 0.000 0.500
Sn1 0.500 0.500 0.500
Br1 0.000 0.500 0.000
Br2 0.500 0.000 0.000
```

***

2.
Below is YSnSe2Br after structural relaxation, with properties calculated at the PBE level.

Values from the calculation:
total magnetization	0.000	μB per formula unit
formation energy from raw total energies	-0.80	eV per atom
space group	P4/mmm (123)
E above lowest polymorph	0	meV per atom
density of states at the Fermi level	0.097	states/eV per atom
uncorrected energy	-4.6176	eV/atom

```
data_YSnSe2Br
_symmetry_space_group_name_H-M 'P 1'
_symmetry_Int_Tables_number 1
_cell_length_a 5.526
_cell_length_b 5.526
_cell_length_c 5.362
_cell_angle_alpha 90.00
_cell_angle_beta 90.00
_cell_angle_gamma 90.00
loop_
_symmetry_equiv_pos_as_xyz
'x,y,z'
loop_
_atom_site_label
_atom_site_fract_x
_atom_site_fract_y
_atom_site_fract_z
Y1 0.000 0.000 0.000
Se1 0.000 0.500 0.000
Se2 0.500 0.000 0.000
Sn1 0.500 0.500 0.500
Br1 0.000 0.000 0.500
```

***

3.
Below is YSnSeBr2 after structural relaxation, with properties calculated at the PBE level.

Values from the calculation:
total magnetization	1.028	μB per formula unit
formation energy from raw total energies	-0.26	eV per atom
space group	P4/mmm (123)
E above lowest polymorph	621	meV per atom
density of states at the Fermi level	0.820	states/eV per atom
uncorrected energy	-3.7199	eV/atom

```
data_YSnSeBr2
_symmetry_space_group_name_H-M 'P 1'
_symmetry_Int_Tables_number 1
_cell_length_a 5.505
_cell_length_b 5.505
_cell_length_c 5.646
_cell_angle_alpha 90.00
_cell_angle_beta 90.00
_cell_angle_gamma 90.00
loop_
_symmetry_equiv_pos_as_xyz
'x,y,z'
loop_
_atom_site_label
_atom_site_fract_x
_atom_site_fract_y
_atom_site_fract_z
Y1 0.500 0.500 0.500
Se1 0.000 0.000 0.500
Sn1 0.000 0.000 0.000
Br1 0.000 0.500 0.000
Br2 0.500 0.000 0.000
```

***

4.
Below is YSnSe2Br after structural relaxation, with properties calculated at the PBE level.

Values from the calculation:
total magnetization	0.565	μB per formula unit
formation energy from raw total energies	-0.31	eV per atom
space group	P4/mmm (123)
E above lowest polymorph	488	meV per atom
density of states at the Fermi level	0.723	states/eV per atom
uncorrected energy	-4.1293	eV/atom

```
data_YSnSe2Br
_symmetry_space_group_name_H-M 'P 1'
_symmetry_Int_Tables_number 1
_cell_length_a 5.369
_cell_length_b 5.369
_cell_length_c 5.324
_cell_angle_alpha 90.00
_cell_angle_beta 90.00
_cell_angle_gamma 90.00
loop_
_symmetry_equiv_pos_as_xyz
'x,y,z'
loop_
_atom_site_label
_atom_site_fract_x
_atom_site_fract_y
_atom_site_fract_z
Y1 0.500 0.500 0.500
Se1 0.000 0.500 0.000
Se2 0.500 0.000 0.000
Sn1 0.000 0.000 0.000
Br1 0.000 0.000 0.500
```